UTl2SnS6: optimized geometry, PBE.

## Properties
* space group: R-3, No. 148
* E_form (uncorrected): -583 meV/atom

```
10
Lattice="-0.7305 5.4217 4.7002 3.3262 -0.2968 6.3929 5.4467 4.2884 1.4333" Properties=species:S:1:pos:R:3 pbc="T T T"
S 2.8167 6.5265 8.7618
S 5.9792 3.6202 4.6438
S 4.1005 6.8637 4.5357
S 1.6672 4.3508 3.9536
S 6.1085 5.9599 7.5709
S 4.8638 1.7123 7.4170
Sn 1.1016 1.8414 3.5808
Tl 4.5555 3.7872 1.8735
Tl 3.1007 4.1878 6.7184
U 5.1226 6.5478 9.8442
```



KSrLiHg: optimized geometry, PBE.

## Properties
* formation energy: -0.082 eV per atom
* space group: F-43m, No. 216

```
4
Lattice="-1.6014 3.2472 -4.6460 -5.0031 3.1043 0.1605 0.1904 5.8789 0.3095" Properties=species:S:1:pos:R:3 pbc="T T T"
Li 0.0000 0.0000 0.0000
Hg -3.2071 6.1152 -2.0880
K -4.8106 9.1727 -3.1320
Sr -1.6035 3.0576 -1.0440
```